<P>
A plane-wave DFT calculation with PBE-GGA was carried out for a geometry-optimized La6Pr3Dy structure.

abc: 6.927 12.991 7.048
angles: 130.85 119.43 90.00
Positions (direct):
Dy 0.500 0.500 0.000
La 0.709 0.675 0.862
La 0.327 0.026 0.653
La 0.154 0.675 0.862
La 0.291 0.325 0.138
Pr 0.000 0.000 0.000
Pr 0.207 0.686 0.414
Pr 0.793 0.314 0.586
La 0.846 0.325 0.138
La 0.673 0.974 0.347

Space group   C2/m, No. 12


<Q>
A plane-wave DFT calculation with PBE-GGA was carried out for a geometry-optimized La6Pr3Dy structure.

abc: 6.664 11.285 11.285
angles: 121.55 90.00 90.00
Positions (direct):
Dy 0.107 0.187 0.813
La 0.557 0.286 0.367
La 0.853 0.031 0.969
Pr 0.079 0.384 0.616
La 0.160 0.719 0.281
La 0.057 0.367 0.286
Pr 0.579 0.616 0.384
Dy 0.607 0.813 0.187
La 0.660 0.281 0.719
Pr 0.964 0.058 0.295
La 0.057 0.714 0.633
Pr 0.464 0.295 0.058
La 0.557 0.633 0.714
Pr 0.464 0.942 0.705
La 0.872 0.930 0.515
La 0.872 0.485 0.070
La 0.372 0.070 0.485
Pr 0.964 0.705 0.942
La 0.372 0.515 0.930
La 0.353 0.969 0.031

Space group   Cmc2_1, No. 36


Q: Which of them is the least stable? A: <P>.